Record 1
# CdAu PBE optimized geometry
data_CdAu
_cell_length_a 3.680
_cell_length_b 10.848
_cell_length_c 7.095
_cell_angle_alpha 90.00
_cell_angle_beta 90.00
_cell_angle_gamma 90.00
_space_group_name_H-M_alt 'A m m 2'
_space_group_IT_number 38
loop_
_space_group_symop_operation_xyz
'x,y,z'
'-x,-y,z'
'-x,y,z'
'x,-y,z'
'x,y+1/2,z+1/2'
'-x,-y+1/2,z+1/2'
'-x,y+1/2,z+1/2'
'x,-y+1/2,z+1/2'
loop_
_atom_site_label
_atom_site_fract_x
_atom_site_fract_y
_atom_site_fract_z
Cd1 0.000 0.000 0.000
Cd2 0.500 0.142 0.365
Au1 0.000 0.000 0.605
Au2 0.000 0.245 0.116
# E_tot in eV/atom: -2.119
# Formation energy in eV per atom: -0.022

***

Record 2
# TiVRe4 PBE optimized geometry
data_TiVRe4
_cell_length_a 4.350
_cell_length_b 9.331
_cell_length_c 4.354
_cell_angle_alpha 90.00
_cell_angle_beta 90.00
_cell_angle_gamma 90.00
_space_group_name_H-M_alt 'C m m m'
_space_group_IT_number 65
_space_group_name_Hall '-C 2 2'
loop_
_atom_site_label
_atom_site_fract_x
_atom_site_fract_y
_atom_site_fract_z
Ti1 0.000 0.000 0.000
V1 0.000 0.500 0.500
Re1 0.000 0.164 0.500
Re2 0.000 0.336 0.000
# E_tot in eV/atom: -11.374
# Formation energy in eV per atom: -0.239

***

Record 3
# LaSn3N PBE optimized geometry
data_LaSn3N
_cell_length_a 6.151
_cell_length_b 6.151
_cell_length_c 6.151
_cell_angle_alpha 90.00
_cell_angle_beta 90.00
_cell_angle_gamma 90.00
_space_group_name_H-M_alt 'P m -3 m'
_space_group_IT_number 221
_space_group_name_Hall '-P 4 2 3'
loop_
_atom_site_label
_atom_site_fract_x
_atom_site_fract_y
_atom_site_fract_z
La1 0.000 0.000 0.000
Sn1 0.000 0.000 0.500
N1 0.500 0.500 0.500
# E_tot in eV/atom: -3.440
# Polymorph energy (0 for the lowest one) in meV per atom: 1550
# Formation energy (no corrections) in eV per atom: 1.612

***

Record 4
# Sm4Ir PBE optimized geometry
data_Sm4Ir
_cell_length_a 5.557
_cell_length_b 5.557
_cell_length_c 5.557
_cell_angle_alpha 90.00
_cell_angle_beta 90.00
_cell_angle_gamma 90.00
_space_group_name_H-M_alt 'P m -3 m'
_space_group_IT_number 221
_space_group_name_Hall '-P 4 2 3'
loop_
_atom_site_label
_atom_site_fract_x
_atom_site_fract_y
_atom_site_fract_z
Sm1 0.000 0.000 0.000
Sm2 0.000 0.500 0.500
Ir1 0.500 0.500 0.500
# E_tot in eV/atom: -5.731
# Formation energy in eV per atom: -0.183

***

Record 5
# Li3Nd2InCu12 PBE optimized geometry
data_Li3Nd2InCu12
_cell_length_a 6.1955
_cell_length_b 6.1955
_cell_length_c 27.6549
_cell_angle_alpha 90.00
_cell_angle_beta 90.00
_cell_angle_gamma 120.00
_space_group_name_H-M_alt 'R -3 m'
_space_group_IT_number 166
_space_group_name_Hall '-R 3 2"'
loop_
_atom_site_label
_atom_site_fract_x
_atom_site_fract_y
_atom_site_fract_z
Li1 0.0000 0.5000 0.0000
Nd1 0.0000 0.0000 0.1381
In1 0.0000 0.0000 0.5000
Cu1 0.0540 0.5270 0.9016
Cu2 0.0762 0.5381 0.6241
# E_tot in eV/atom: -3.637
# Formation energy in eV per atom: 0.095

***

Record 6
# Li2Hf2AlS6 PBE optimized geometry
data_Li2Hf2AlS6
_cell_length_a 6.253
_cell_length_b 10.848
_cell_length_c 6.483
_cell_angle_alpha 90.00
_cell_angle_beta 108.52
_cell_angle_gamma 90.00
_space_group_name_H-M_alt 'C 1 2/m 1'
_space_group_IT_number 12
loop_
_space_group_symop_operation_xyz
'x,y,z'
'-x,-y,-z'
'-x,y,-z'
'x,-y,z'
'x+1/2,y+1/2,z'
'-x+1/2,-y+1/2,-z'
'-x+1/2,y+1/2,-z'
'x+1/2,-y+1/2,z'
loop_
_atom_site_label
_atom_site_fract_x
_atom_site_fract_y
_atom_site_fract_z
Li1 0.000 0.169 0.000
Hf1 0.000 0.333 0.500
Al1 0.000 0.000 0.500
S1 0.237 0.161 0.734
S2 0.239 0.000 0.272
# E_tot in eV/atom: -6.153
# Formation energy (no corrections) in eV per atom: -1.404

***

Record 7
# SbIr2W PBE optimized geometry
data_SbIr2W
_cell_length_a 2.9515
_cell_length_b 2.9515
_cell_length_c 26.5310
_cell_angle_alpha 90.00
_cell_angle_beta 90.00
_cell_angle_gamma 120.00
_space_group_name_H-M_alt 'R 3 m'
_space_group_IT_number 160
_space_group_name_Hall 'R 3 -2"'
loop_
_atom_site_label
_atom_site_fract_x
_atom_site_fract_y
_atom_site_fract_z
Sb1 0.0000 0.0000 0.0000
Ir1 0.0000 0.0000 0.2531
Ir2 0.0000 0.0000 0.5008
W1 0.0000 0.0000 0.7564
# E_tot in eV/atom: -8.334
# Formation energy (no corrections) in eV per atom: 0.365

***

Record 8
# Ca2CuGe4Pt3 PBE optimized geometry
data_Ca2CuGe4Pt3
_cell_length_a 4.302
_cell_length_b 4.302
_cell_length_c 10.300
_cell_angle_alpha 90.00
_cell_angle_beta 90.00
_cell_angle_gamma 90.00
_space_group_name_H-M_alt 'P -4 m 2'
_space_group_IT_number 115
loop_
_space_group_symop_operation_xyz
'x,y,z'
'y,-x,-z'
'-x,-y,z'
'-y,x,-z'
'-x,y,z'
'-y,-x,-z'
'x,-y,z'
'y,x,-z'
loop_
_atom_site_label
_atom_site_fract_x
_atom_site_fract_y
_atom_site_fract_z
Ca1 0.000 0.500 0.247
Cu1 0.500 0.500 0.000
Ge1 0.000 0.000 0.500
Ge2 0.000 0.500 0.873
Ge3 0.500 0.500 0.500
Pt1 0.000 0.000 0.000
Pt2 0.000 0.500 0.630
# E_tot in eV/atom: -5.164
# Formation energy in eV per atom: -0.695

***

Record 9
# CaCdMo2 PBE optimized geometry
data_CaCdMo2
_cell_length_a 3.379
_cell_length_b 4.539
_cell_length_c 10.241
_cell_angle_alpha 90.00
_cell_angle_beta 90.00
_cell_angle_gamma 90.00
_space_group_name_H-M_alt 'I m m m'
_space_group_IT_number 71
_space_group_name_Hall '-I 2 2'
loop_
_atom_site_label
_atom_site_fract_x
_atom_site_fract_y
_atom_site_fract_z
Ca1 0.000 0.000 0.000
Cd1 0.000 0.000 0.500
Mo1 0.000 0.500 0.240
# E_tot in eV/atom: -5.494
# Formation energy in eV per atom: 0.651

***

Record 10
# Rb4La3AlS8 PBE optimized geometry
data_Rb4La3AlS8
_cell_length_a 14.480
_cell_length_b 8.356
_cell_length_c 9.083
_cell_angle_alpha 90.00
_cell_angle_beta 122.12
_cell_angle_gamma 90.00
_space_group_name_H-M_alt 'C 1 2/m 1'
_space_group_IT_number 12
loop_
_space_group_symop_operation_xyz
'x,y,z'
'-x,-y,-z'
'-x,y,-z'
'x,-y,z'
'x+1/2,y+1/2,z'
'-x+1/2,-y+1/2,-z'
'-x+1/2,y+1/2,-z'
'x+1/2,-y+1/2,z'
loop_
_atom_site_label
_atom_site_fract_x
_atom_site_fract_y
_atom_site_fract_z
Rb1 0.000 0.000 0.000
Rb2 0.000 0.500 0.000
Rb3 0.250 0.250 0.000
La1 0.000 0.000 0.500
La2 0.250 0.250 0.500
Al1 0.000 0.500 0.500
S1 0.013 0.275 0.314
S2 0.213 0.500 0.687
S3 0.234 0.000 0.702
# E_tot in eV/atom: -5.085
# Formation energy (no corrections) in eV per atom: -1.621

***

Record 11
# Tl3Bi2Pb PBE optimized geometry
data_Tl3Bi2Pb
_cell_length_a 5.084
_cell_length_b 10.406
_cell_length_c 7.482
_cell_angle_alpha 90.00
_cell_angle_beta 90.00
_cell_angle_gamma 90.00
_space_group_name_H-M_alt 'P m c 21'
_space_group_IT_number 26
loop_
_space_group_symop_operation_xyz
'x,y,z'
'-x,-y,z+1/2'
'-x,y,z'
'x,-y,z+1/2'
loop_
_atom_site_label
_atom_site_fract_x
_atom_site_fract_y
_atom_site_fract_z
Tl1 0.000 0.046 0.000
Tl2 0.000 0.314 0.409
Tl3 0.500 0.177 0.730
Bi1 0.000 0.374 0.842
Bi2 0.500 0.149 0.278
Pb1 0.500 0.446 0.121
# E_tot in eV/atom: -3.091
# Polymorph energy (0 for the lowest one) in meV per atom: 0
# Formation energy in eV per atom: 0.004

***

Record 12
# Er2MgIr PBE optimized geometry
data_Er2MgIr
_cell_length_a 3.995
_cell_length_b 14.227
_cell_length_c 7.226
_cell_angle_alpha 90.00
_cell_angle_beta 90.00
_cell_angle_gamma 90.00
_space_group_name_H-M_alt 'C m c m'
_space_group_IT_number 63
_space_group_name_Hall '-C 2c 2'
loop_
_atom_site_label
_atom_site_fract_x
_atom_site_fract_y
_atom_site_fract_z
Er1 0.000 0.146 0.005
Mg1 0.000 0.493 0.750
Ir1 0.000 0.299 0.750
# E_tot in eV/atom: -5.430
# Formation energy in eV per atom: -0.534